VASP calculation (GGA+U) on a geometry-optimized NaCo3O6 structure.

Lattice parameters (Å, degrees): 9.588 9.588 9.588 32.65 32.65 32.65
Fractional coordinates of all 20 atoms:
Na (0.170, 0.170, 0.170)
Na (0.830, 0.830, 0.830)
Co (0.087, 0.708, 0.396)
Co (0.292, 0.913, 0.604)
Co (0.396, 0.087, 0.708)
Co (0.604, 0.292, 0.913)
Co (0.708, 0.396, 0.087)
Co (0.913, 0.604, 0.292)
O (0.026, 0.026, 0.026)
O (0.042, 0.444, 0.794)
O (0.206, 0.556, 0.958)
O (0.361, 0.361, 0.361)
O (0.444, 0.794, 0.042)
O (0.477, 0.477, 0.477)
O (0.523, 0.523, 0.523)
O (0.556, 0.958, 0.206)
O (0.639, 0.639, 0.639)
O (0.794, 0.042, 0.444)
O (0.958, 0.206, 0.556)
O (0.974, 0.974, 0.974)

Calculated values
E, eV/atom: -5.371
Total moment, μB per atom: 0.800